Material: CdMo2N2
Method: DFT, SCAN
State: PBEsol geometry

Output
**Uncorrected formation energy**: 0.1988 eV/atom
**Total moment**: 0.00 μB/cell

```
CdMo2N2
1.0
-2.874 0.432 -2.572
-1.970 -2.867 1.721
0.321 4.390 3.307
Cd Mo N
1 2 2
Direct
0.000 0.000 0.000 Cd
0.250 0.750 0.500 Mo
0.750 0.250 0.500 Mo
0.318 0.318 0.636 N
0.682 0.682 0.364 N
```